{
  "formula": "NaAs2Rh",
  "functional": "PBE-GGA",
  "state": "relaxed",
  "formation_energy_ev_per_atom": -0.34,
  "magmom_total_mub_per_fu": 0.00,
  "relative_energy_ev_per_atom": 0.015,
  "rho_g_cm3": 5.61,
  "cell": [[-0.422, 3.041, -2.726], [-2.814, -0.286, -2.975], [-4.843, 3.375, 1.424]],
  "species": ["Na", "As", "As", "Rh"],
  "fractional_positions": [[0.500, 0.500, 0.500], [0.281, 0.281, 0.157], [0.719, 0.719, 0.843], [0.000, 0.000, 0.000]]
}

=====

{
  "formula": "Cs3LiCr",
  "functional": "PBE-GGA",
  "state": "relaxed",
  "formation_energy_ev_per_atom": 0.78,
  "magmom_total_mub_per_fu": 5.07,
  "rho_g_cm3": 1.92,
  "cell": [[-1.077, -0.683, 7.228], [5.016, -5.353, 0.242], [5.249, 4.975, 1.252]],
  "species": ["Cs", "Cs", "Cs", "Cr", "Li"],
  "fractional_positions": [[0.000, 0.500, 0.000], [0.000, 0.000, 0.500], [0.500, 0.000, 0.000], [0.500, 0.500, 0.500], [0.000, 0.000, 0.000]]
}

=====

{
  "formula": "YRe2Pt",
  "functional": "PBE-GGA",
  "state": "relaxed",
  "formation_energy_ev_per_atom": -0.04,
  "magmom_total_mub_per_fu": 0.00,
  "relative_energy_ev_per_atom": 0.097,
  "rho_g_cm3": 14.94,
  "cell": [[-0.517, -0.346, 2.941], [2.730, -2.607, 0.173], [4.300, 4.588, 1.296]],
  "species": ["Pt", "Re", "Re", "Y"],
  "fractional_positions": [[0.500, 0.500, 0.767], [0.000, 0.000, 0.029], [0.500, 0.500, 0.190], [0.000, 0.000, 0.514]]
}

=====

{
  "formula": "Ac4Cd3Si5",
  "functional": "PBE-GGA",
  "state": "relaxed",
  "magmom_total_mub_per_fu": 0.00,
  "raw_formation_energy_ev_per_atom": -0.243,
  "rho_g_cm3": 6.23,
  "cell": [[4.759, 0.000, 0.000], [2.380, 7.534, -0.504], [2.380, 1.984, 10.173]],
  "species": ["Ac", "Ac", "Ac", "Ac", "Cd", "Cd", "Cd", "Si", "Si", "Si", "Si", "Si"],
  "fractional_positions": [[0.897, 0.273, 0.932], [0.252, 0.818, 0.678], [0.748, 0.182, 0.322], [0.103, 0.727, 0.068], [0.411, 0.825, 0.352], [0.000, 0.500, 0.500], [0.589, 0.175, 0.648], [0.568, 0.980, 0.885], [0.500, 0.500, 0.500], [0.270, 0.323, 0.136], [0.730, 0.677, 0.864], [0.432, 0.020, 0.115]]
}

=====

{
  "formula": "Pm4CdGe",
  "functional": "PBE-GGA",
  "state": "relaxed",
  "formation_energy_ev_per_atom": -0.39,
  "magmom_total_mub_per_fu": 0.00,
  "relative_energy_ev_per_atom": 0.000,
  "rho_g_cm3": 7.12,
  "cell": [[0.401, -7.800, -6.297], [8.838, -4.180, -2.252], [2.257, -9.139, 3.471]],
  "species": ["Pm", "Pm", "Pm", "Pm", "Pm", "Pm", "Pm", "Pm", "Pm", "Pm", "Pm", "Pm", "Pm", "Pm", "Pm", "Pm", "Cd", "Cd", "Cd", "Cd", "Ge", "Ge", "Ge", "Ge"],
  "fractional_positions": [[0.392, 0.392, 0.392], [0.825, 0.392, 0.392], [0.392, 0.825, 0.392], [0.392, 0.392, 0.825], [0.562, 0.562, 0.938], [0.938, 0.938, 0.562], [0.562, 0.938, 0.562], [0.938, 0.562, 0.938], [0.938, 0.562, 0.562], [0.562, 0.938, 0.938], [0.185, 0.185, 0.815], [0.815, 0.815, 0.185], [0.185, 0.815, 0.185], [0.815, 0.185, 0.815], [0.815, 0.185, 0.185], [0.185, 0.815, 0.815], [0.169, 0.169, 0.169], [0.493, 0.169, 0.169], [0.169, 0.493, 0.169], [0.169, 0.169, 0.493], [0.605, 0.605, 0.605], [0.186, 0.605, 0.605], [0.605, 0.186, 0.605], [0.605, 0.605, 0.186]]
}

=====

{
  "formula": "SmEr2Rh4",
  "functional": "PBE-GGA",
  "state": "relaxed",
  "formation_energy_ev_per_atom": -0.51,
  "magmom_total_mub_per_fu": 0.00,
  "rho_g_cm3": 10.23,
  "cell": [[4.433, 0.000, 1.385], [2.000, 3.956, 1.385], [-0.141, -0.086, 8.236]],
  "species": ["Sm", "Er", "Er", "Rh", "Rh", "Rh", "Rh"],
  "fractional_positions": [[0.000, 0.000, 0.000], [0.762, 0.762, 0.714], [0.238, 0.238, 0.286], [0.878, 0.878, 0.366], [0.122, 0.122, 0.634], [0.622, 0.622, 0.134], [0.378, 0.378, 0.866]]
}

=====

{
  "formula": "TmZrCdTc",
  "functional": "PBE-GGA",
  "state": "relaxed",
  "formation_energy_ev_per_atom": -0.28,
  "magmom_total_mub_per_fu": 0.00,
  "relative_energy_ev_per_atom": 0.000,
  "rho_g_cm3": 9.13,
  "cell": [[-3.376, -0.410, 0.177], [0.318, -3.154, -1.243], [0.679, -2.635, 6.859]],
  "species": ["Tm", "Zr", "Cd", "Tc"],
  "fractional_positions": [[0.500, 0.500, 0.790], [0.500, 0.500, 0.359], [0.000, 0.000, 0.086], [0.000, 0.000, 0.550]]
}

=====

{
  "formula": "Ac4BiPb",
  "functional": "PBE-GGA",
  "state": "relaxed",
  "formation_energy_ev_per_atom": -0.32,
  "magmom_total_mub_per_fu": 0.00,
  "rho_g_cm3": 8.49,
  "cell": [[-2.760, 1.319, -4.788], [0.969, -2.982, -4.738], [-7.375, -6.403, -0.854]],
  "species": ["Ac", "Ac", "Ac", "Ac", "Bi", "Pb"],
  "fractional_positions": [[0.626, 0.626, 0.122], [0.374, 0.374, 0.878], [0.124, 0.124, 0.627], [0.876, 0.876, 0.373], [0.500, 0.500, 0.500], [0.000, 0.000, 0.000]]
}

=====

{
  "formula": "CrWCl2",
  "functional": "PBE-GGA",
  "state": "relaxed",
  "magmom_total_mub_per_fu": 2.56,
  "raw_formation_energy_ev_per_atom": 0.627,
  "relative_energy_ev_per_atom": 0.789,
  "rho_g_cm3": 6.40,
  "cell": [[-8.419, -3.965, 5.372], [-6.294, -5.274, 6.931], [-7.146, -2.541, 7.611]],
  "species": ["Cr", "W", "Cl", "Cl"],
  "fractional_positions": [[0.250, 0.250, 0.250], [0.750, 0.750, 0.750], [0.967, 0.967, 0.967], [0.533, 0.533, 0.533]]
}

=====

{
  "formula": "KBiF4",
  "functional": "PBE-GGA",
  "state": "relaxed",
  "magmom_total_mub_per_fu": 0.00,
  "raw_formation_energy_ev_per_atom": -2.375,
  "rho_g_cm3": 4.49,
  "cell": [[6.944, 0.000, 0.000], [0.000, 6.944, 0.000], [-3.472, -3.472, 2.486]],
  "species": ["K", "Bi", "F", "F", "F", "F"],
  "fractional_positions": [[0.750, 0.250, 0.500], [0.500, 0.500, 0.000], [0.560, 0.920, 0.506], [0.946, 0.586, 0.506], [0.080, 0.054, 0.494], [0.414, 0.440, 0.494]]
}

=====

{
  "formula": "LiTiIn",
  "functional": "PBE-GGA",
  "state": "relaxed",
  "formation_energy_ev_per_atom": -0.07,
  "magmom_total_mub_per_fu": 0.00,
  "relative_energy_ev_per_atom": 0.107,
  "rho_g_cm3": 4.89,
  "cell": [[7.367, -1.567, 0.000], [7.367, 1.567, 0.000], [0.000, 0.000, 4.989]],
  "species": ["Ti", "Ti", "Li", "Li", "In", "In"],
  "fractional_positions": [[0.324, 0.324, 0.818], [0.676, 0.676, 0.818], [0.000, 0.000, 0.928], [0.500, 0.500, 0.441], [0.157, 0.157, 0.316], [0.843, 0.843, 0.316]]
}

=====

{
  "formula": "Tc2TeIr",
  "functional": "PBE-GGA",
  "state": "relaxed",
  "magmom_total_mub_per_fu": 0.00,
  "raw_formation_energy_ev_per_atom": 0.439,
  "rho_g_cm3": 12.89,
  "cell": [[9.095, 0.022, 0.013], [8.616, 2.913, 0.013], [8.616, 1.427, 2.539]],
  "species": ["Ir", "Tc", "Tc", "Te"],
  "fractional_positions": [[0.745, 0.745, 0.745], [0.999, 0.999, 0.999], [0.255, 0.255, 0.255], [0.501, 0.501, 0.501]]
}

=====

{
  "formula": "YThRu",
  "functional": "PBE-GGA",
  "state": "relaxed",
  "formation_energy_ev_per_atom": -0.33,
  "magmom_total_mub_per_fu": 0.00,
  "relative_energy_ev_per_atom": 0.002,
  "rho_g_cm3": 8.96,
  "cell": [[3.707, 0.000, 0.000], [1.854, 7.027, 0.130], [1.854, 1.388, 6.032]],
  "species": ["Ru", "Ru", "Y", "Y", "Th", "Th"],
  "fractional_positions": [[0.127, 0.318, 0.428], [0.873, 0.682, 0.572], [0.165, 0.929, 0.741], [0.835, 0.071, 0.259], [0.407, 0.395, 0.791], [0.593, 0.605, 0.209]]
}

=====

{
  "formula": "Pu2B2PdRh5",
  "functional": "PBE-GGA",
  "state": "relaxed",
  "formation_energy_ev_per_atom": -0.45,
  "magmom_total_mub_per_fu": 9.29,
  "rho_g_cm3": 12.60,
  "cell": [[-1.902, -1.385, 2.184], [7.758, -3.285, 4.673], [0.219, 8.047, 5.293]],
  "species": ["Pu", "Pu", "Pu", "Pu", "B", "B", "B", "B", "Pd", "Pd", "Rh", "Rh", "Rh", "Rh", "Rh", "Rh", "Rh", "Rh", "Rh", "Rh"],
  "fractional_positions": [[0.000, 0.679, 0.179], [0.000, 0.321, 0.821], [0.000, 0.179, 0.321], [0.000, 0.821, 0.679], [0.000, 0.121, 0.621], [0.000, 0.879, 0.379], [0.000, 0.621, 0.879], [0.000, 0.379, 0.121], [0.000, 0.000, 0.000], [0.000, 0.500, 0.500], [0.500, 0.228, 0.070], [0.500, 0.772, 0.930], [0.500, 0.070, 0.772], [0.500, 0.728, 0.430], [0.500, 0.930, 0.228], [0.500, 0.272, 0.570], [0.500, 0.570, 0.728], [0.500, 0.430, 0.272], [0.500, 0.500, 0.000], [0.500, 0.000, 0.500]]
}

=====

{
  "formula": "Al2C",
  "functional": "PBE-GGA",
  "state": "relaxed",
  "formation_energy_ev_per_atom": 0.06,
  "magmom_total_mub_per_fu": 0.00,
  "rho_g_cm3": 2.38,
  "cell": [[3.640, 0.000, 0.000], [0.000, 3.640, 0.000], [0.000, 0.000, 6.954]],
  "species": ["Al", "Al", "Al", "Al", "C", "C"],
  "fractional_positions": [[0.000, 0.000, 0.000], [0.500, 0.500, 0.000], [0.500, 0.000, 0.592], [0.000, 0.500, 0.408], [0.500, 0.000, 0.872], [0.000, 0.500, 0.128]]
}

=====

{
  "formula": "Ca2ZrMn",
  "functional": "PBE-GGA",
  "state": "relaxed",
  "formation_energy_ev_per_atom": 0.40,
  "magmom_total_mub_per_fu": 2.05,
  "relative_energy_ev_per_atom": 0.202,
  "rho_g_cm3": 3.06,
  "cell": [[4.722, 0.071, -0.005], [3.374, 3.304, -0.005], [2.179, 0.908, 7.994]],
  "species": ["Ca", "Ca", "Mn", "Zr"],
  "fractional_positions": [[0.004, 0.004, 0.931], [0.168, 0.168, 0.319], [0.526, 0.526, 0.625], [0.802, 0.802, 0.625]]
}

=====

{
  "formula": "FeAg3Cl",
  "functional": "PBE-GGA",
  "state": "relaxed",
  "magmom_total_mub_per_fu": 3.40,
  "raw_formation_energy_ev_per_atom": 1.073,
  "relative_energy_ev_per_atom": 0.243,
  "rho_g_cm3": 5.50,
  "cell": [[5.005, 0.000, 0.000], [0.000, 5.005, 0.000], [0.000, 0.000, 5.005]],
  "species": ["Fe", "Ag", "Ag", "Ag", "Cl"],
  "fractional_positions": [[0.500, 0.500, 0.500], [0.000, 0.500, 0.000], [0.000, 0.000, 0.500], [0.500, 0.000, 0.000], [0.000, 0.000, 0.000]]
}

=====

{
  "formula": "DyYNiHg",
  "functional": "PBE-GGA",
  "state": "relaxed",
  "formation_energy_ev_per_atom": -0.36,
  "magmom_total_mub_per_fu": 0.00,
  "rho_g_cm3": 9.29,
  "cell": [[5.053, 0.000, 0.000], [2.527, 4.376, 0.000], [2.527, 1.459, 4.126]],
  "species": ["Y", "Ni", "Hg", "Dy"],
  "fractional_positions": [[0.750, 0.750, 0.750], [0.500, 0.500, 0.500], [0.000, 0.000, 0.000], [0.250, 0.250, 0.250]]
}

=====

{
  "formula": "Pr2Y2ErTm",
  "functional": "PBE-GGA",
  "state": "relaxed",
  "formation_energy_ev_per_atom": 0.06,
  "magmom_total_mub_per_fu": 0.00,
  "rho_g_cm3": 6.70,
  "cell": [[-4.849, -0.980, 2.780], [-1.652, -5.067, -4.668], [4.554, -6.644, 5.599]],
  "species": ["Pr", "Pr", "Pr", "Pr", "Y", "Y", "Y", "Y", "Er", "Er", "Tm", "Tm"],
  "fractional_positions": [[0.000, 0.258, 0.816], [0.500, 0.258, 0.351], [0.000, 0.758, 0.184], [0.500, 0.758, 0.649], [0.500, 0.008, 0.000], [0.000, 0.258, 0.155], [0.500, 0.508, 0.000], [0.000, 0.758, 0.845], [0.500, 0.258, 0.679], [0.500, 0.758, 0.321], [0.000, 0.008, 0.500], [0.000, 0.508, 0.500]]
}

=====

{
  "formula": "Cu2TeCl",
  "functional": "PBE-GGA",
  "state": "relaxed",
  "magmom_total_mub_per_fu": 0.00,
  "raw_formation_energy_ev_per_atom": -0.226,
  "relative_energy_ev_per_atom": 0.000,
  "rho_g_cm3": 5.01,
  "cell": [[-3.329, -1.140, -1.376], [1.744, -2.678, -1.998], [-0.658, -4.311, 5.163]],
  "species": ["Te", "Cu", "Cu", "Cl"],
  "fractional_positions": [[0.000, 0.374, 0.380], [0.000, 0.875, 0.119], [0.500, 0.375, 0.120], [0.500, 0.876, 0.881]]
}